(1)
Computed, not measured: crystalline Tm3ScGa at its relaxed geometry at the PBE level of DFT.

Output
- Space-group type: C2/m
- Calculated total energy: -4.621 eV per atom
- Formation energy: -0.07 eV per atom

a = 7.201 Å, b = 7.201 Å, c = 7.467 Å
α = 121.04°, β = 121.04°, γ = 74.72°
Element x y z (fractional)
Tm  0.054  0.054  0.329
Tm  0.094  0.476  0.254
Tm  0.476  0.094  0.254
Tm  0.524  0.906  0.746
Tm  0.906  0.524  0.746
Tm  0.946  0.946  0.671
Sc  0.432  0.432  0.733
Sc  0.568  0.568  0.267
Ga  0.262  0.262  0.890
Ga  0.738  0.738  0.110

(2)
Computed, not measured: crystalline TmSc2Ga at its relaxed geometry at the PBE level of DFT.

Output
- Space-group type: Fm-3m
- Calculated total energy: -5.153 eV per atom
- Formation energy: -0.11 eV per atom

a = 5.027 Å, b = 5.027 Å, c = 5.027 Å
α = 60.00°, β = 60.00°, γ = 60.00°
Element x y z (fractional)
Tm  0.000  0.000  0.000
Sc  0.250  0.250  0.250
Sc  0.750  0.750  0.750
Ga  0.500  0.500  0.500

Among the records above, which one has the highest formation energy? Tm3ScGa

Which of these has the highest formation energy? Tm3ScGa